Entry 1:
The following is a PBE calculation of a geometry-optimized CsDyGeS3 structure, from OQMD.

Computed properties:
The crystal system is orthorhombic. The value obtained for the total energy is -4.966 eV per atom. The density comes out at 4.2 g/cm3. As for the total moment: 0.018 μB per cell. The volume is 30.34 Å³/atom. Its space group is Cmcm, No. 63.

Lattice parameters (Å, degrees): 8.3593 8.3593 11.3309 90.00 90.00 152.62
Fractional coordinates of all 12 atoms:
Cs (0.2063, 0.7937, 0.7500)
Cs (0.7937, 0.2063, 0.2500)
Dy (0.5000, 0.5000, 0.0000)
Dy (0.5000, 0.5000, 0.5000)
Ge (0.0948, 0.9052, 0.2500)
Ge (0.9052, 0.0948, 0.7500)
S (0.1133, 0.8867, 0.0193)
S (0.1133, 0.8867, 0.4807)
S (0.4979, 0.5021, 0.2500)
S (0.5021, 0.4979, 0.7500)
S (0.8867, 0.1133, 0.5193)
S (0.8867, 0.1133, 0.9807)

Entry 2:
The following is a PBE calculation of a geometry-optimized PaBiAs structure, from OQMD.

Computed properties:
The crystal system is cubic. The value obtained for the total energy is -6.165 eV per atom. The density comes out at 9.5 g/cm3. As for the total moment: 0.047 μB per cell. The volume is 30.15 Å³/atom. Its space group is F-43m, No. 216.

Lattice parameters (Å, degrees): 5.0385 5.0385 5.0385 60.00 60.00 60.00
Fractional coordinates of all 3 atoms:
Pa (0.0000, 0.0000, 0.0000)
Bi (0.2500, 0.2500, 0.2500)
As (0.7500, 0.7500, 0.7500)

Q: volume of number 2 (PaBiAs)?
A: 30.15 Å³/atom

Q: What is the volume in the first record?
A: 30.34 Å³/atom